# SbRu2Cl

A relaxed structure of SbRu2Cl (GGA-PBE, the Alexandria database).

Its uncorrected formation energy is 0.6012 eV per atom. The total magnetization is 0.000 Bohr magnetons per cell. As for the polymorph energy (0 for the lowest one): 490 meV per atom. The value obtained for the density is 8.691 g cm⁻³.

It has space group Pmmm (No. 47), with a = 2.978 Å, b = 4.287 Å, c = 5.378 Å, α = 90.00°, β = 90.00° and γ = 90.00°. Symmetry generates all atoms from Sb at (0.000, 0.000, 0.000), Ru at (0.000, 0.500, 0.500), Ru at (0.500, 0.500, 0.000) and Cl at (0.500, 0.000, 0.500).